No. 1
Compound: Cs4TmTh3Se8
Source: Alexandria via LeMat-Bulk
Functional: GGA-PBE
Structure: relaxed

Output
**Energy relative to the elements, uncorrected**: -1559 meV/atom
**Space-group type**: R-3m (166)
**Electronic total energy**: -5.185 eV per atom

Cell: 9.828 9.828 9.828 Å, 51.60 51.60 51.60°
Fractional coordinates of all 16 atoms:
Cs 0.000 0.000 0.000
Cs 0.000 0.500 0.500
Cs 0.500 0.000 0.500
Cs 0.500 0.500 0.000
Tm 0.500 0.500 0.500
Th 0.000 0.000 0.500
Th 0.000 0.500 0.000
Th 0.500 0.000 0.000
Se 0.233 0.233 0.233
Se 0.239 0.726 0.726
Se 0.274 0.274 0.761
Se 0.274 0.761 0.274
Se 0.726 0.239 0.726
Se 0.726 0.726 0.239
Se 0.761 0.274 0.274
Se 0.767 0.767 0.767

No. 2
Compound: CsThUSe4
Source: Alexandria via LeMat-Bulk
Functional: GGA-PBE
Structure: relaxed

Output
**Energy relative to the elements, uncorrected**: -1336 meV/atom
**Space-group type**: Imma (74)
**Electronic total energy**: -6.121 eV per atom

Cell: 9.092 9.092 9.092 Å, 120.24 119.53 90.20°
Fractional coordinates of all 14 atoms:
Cs 0.380 0.130 0.250
Cs 0.620 0.870 0.750
Th 0.000 0.500 0.500
Th 0.500 0.500 0.000
U 0.000 0.000 0.500
U 0.000 0.500 0.000
Se 0.178 0.726 0.452
Se 0.225 0.274 0.952
Se 0.229 0.274 0.545
Se 0.229 0.684 0.955
Se 0.771 0.316 0.045
Se 0.771 0.726 0.455
Se 0.775 0.726 0.048
Se 0.822 0.274 0.548

No. 3
Compound: Cs3ThU3Se8
Source: Alexandria via LeMat-Bulk
Functional: GGA-PBE
Structure: relaxed

Output
**Energy relative to the elements, uncorrected**: -1328 meV/atom
**Space-group type**: R-3m (166)
**Electronic total energy**: -6.109 eV per atom

Cell: 9.884 9.884 9.884 Å, 50.83 50.83 50.83°
Fractional coordinates of all 15 atoms:
Cs 0.000 0.500 0.500
Cs 0.500 0.000 0.500
Cs 0.500 0.500 0.000
Th 0.500 0.500 0.500
U 0.000 0.000 0.500
U 0.000 0.500 0.000
U 0.500 0.000 0.000
Se 0.226 0.731 0.731
Se 0.229 0.229 0.229
Se 0.269 0.269 0.774
Se 0.269 0.774 0.269
Se 0.731 0.226 0.731
Se 0.731 0.731 0.226
Se 0.771 0.771 0.771
Se 0.774 0.269 0.269